Crystalline Nd12Au6N at its relaxed geometry. Source: Alexandria via LeMat-Bulk, functional PBE-GGA.

Calculated volume: 571.1 Å³ per cell
Total magnetic moment: 0.00 μB/cell
Uncorrected formation energy: -0.511 eV per atom
Energy: -94.91 eV for the cell shown
Space-group type: R-3

Unit cell a=8.375 b=8.375 c=8.375 alpha=97.47 beta=97.47 gamma=97.47
Positions (direct):
Nd  0.810  0.579  0.432
Nd  0.432  0.810  0.579
Nd  0.579  0.432  0.810
Nd  0.190  0.421  0.568
Nd  0.568  0.190  0.421
Nd  0.421  0.568  0.190
Nd  0.060  0.997  0.305
Nd  0.003  0.695  0.940
Nd  0.695  0.940  0.003
Nd  0.940  0.003  0.695
Nd  0.997  0.305  0.060
Nd  0.305  0.060  0.997
Au  0.696  0.878  0.354
Au  0.646  0.304  0.122
Au  0.122  0.646  0.304
Au  0.304  0.122  0.646
Au  0.354  0.696  0.878
Au  0.878  0.354  0.696
N  0.000  0.000  0.000